Density functional theory data (PBE-GGA) for a relaxed structure of Ba3SrZr.

Calculated values
- total magnetization (μB/f.u.) = 0.0
- space group = Pm-3m (221)
- distance to the lowest polymorph of the same formula (meV per atom) = 744
- E_form (eV/f.u.) = 6.5

Geometry as POSCAR:
```
Ba3SrZr
1.0
6.446 0.000 0.000
0.000 6.446 0.000
0.000 0.000 6.446
Ba Sr Zr
3 1 1
direct
0.000 0.000 0.500 Ba
0.000 0.500 0.000 Ba
0.500 0.000 0.000 Ba
0.000 0.000 0.000 Sr
0.500 0.500 0.500 Zr
```